Material: Pm3Mg2Tl4
Method: DFT, GGA-PBE
State: optimized geometry

It has space group C2/m (No. 12), with a = 11.720 Å, b = 4.963 Å, c = 9.455 Å, α = 90.00°, β = 115.87° and γ = 90.00°. The asymmetric unit holds Pm at (0.000, 0.000, 0.000), Pm at (0.148, 0.500, 0.681), Mg at (0.152, 0.500, 0.325), Tl at (0.059, 0.000, 0.383) and Tl at (0.194, 0.500, 0.046).

The crystal system is monoclinic. The total energy comes out at -59.1 eV/cell.

Material: Pm3Mg3Tl2
Method: DFT, GGA-PBE
State: optimized geometry

It has space group Pmmm (No. 47), with a = 5.045 Å, b = 5.069 Å, c = 8.540 Å, α = 90.00°, β = 90.00° and γ = 90.00°. The asymmetric unit holds Pm at (0.000, 0.000, 0.000), Pm at (0.000, 0.000, 0.500), Pm at (0.500, 0.500, 0.000), Mg at (0.000, 0.500, 0.264), Mg at (0.500, 0.500, 0.500) and Tl at (0.500, 0.000, 0.258).

The crystal system is orthorhombic. The total energy comes out at -25.6 eV/cell.

Material: PmMgTl2
Method: DFT, GGA-PBE
State: optimized geometry

It has space group P4/mmm (No. 123), with a = 4.814 Å, b = 4.814 Å, c = 4.565 Å, α = 90.00°, β = 90.00° and γ = 90.00°. The asymmetric unit holds Pm at (0.000, 0.000, 0.000), Mg at (0.500, 0.500, 0.000) and Tl at (0.000, 0.500, 0.500).

The crystal system is tetragonal. The total energy comes out at -12.3 eV/cell.

Number 1: DFT formation energy -6.82 kcal/mol of atoms. Number 2: DFT formation energy -5.21 kcal/mol of atoms. Number 3: DFT formation energy -6.96 kcal/mol of atoms.